Entry from Alexandria via LeMat-Bulk: crystalline LiBe2AgGe at its relaxed geometry (GGA-PBE).

Summary:
Energy of formation: 0.540 eV/atom
Electronic total energy: -2.827 eV/atom

Unit cell a=4.1943 b=4.1943 c=5.1910 alpha=90.00 beta=90.00 gamma=90.00
Space group P4/mmm (No. 123)
Unique sites:
1 Li 0.0000 0.0000 0.0000
2 Be 0.0000 0.5000 0.5000
3 Ag 0.5000 0.5000 0.0000
4 Ge 0.5000 0.5000 0.5000